Below is LaHo6Tl3 after structural relaxation, with properties calculated at the PBE level.

Values from the calculation:
Energy of formation   -134.6 meV/atom
Total moment   0.0 μB/cell

a b c (Å): 11.4353 12.7966 8.5516
angles (deg): 90.00 90.00 90.00
Last column: nearest neighbours and their distance in Å.
Space group Cmc2_1 (No. 36)
One atom of each set of equivalent atoms:
La (0.0000, 0.1855, 0.0000) (multiplicity 4)  2 Tl 3.37-3.54, 2 Ho 3.67
Ho (0.0000, 0.2673, 0.4262) (multiplicity 4)  3 Tl 3.04-3.08, 2 Ho 3.34
Ho (0.0000, 0.4712, 0.8041) (multiplicity 4)  4 Tl 3.21-3.32, 1 Ho 3.51
Ho (0.1715, 0.0639, 0.3403) (multiplicity 8)  4 Tl 3.01-3.25, 1 Ho 3.34
Ho (0.2441, 0.3184, 0.1952) (multiplicity 8)  3 Tl 3.26-3.33, 4 Ho 3.48-3.58
Tl (0.0000, 0.0744, 0.6424) (multiplicity 4)  7 Ho 3.08-3.26, 1 La 3.37
Tl (0.1903, 0.4135, 0.5421) (multiplicity 8)  7 Ho 3.01-3.33